Record 1
First-principles (PBE-GGA) data for a relaxed structure of SrNb2Co2, as listed in Alexandria via LeMat-Bulk.

The calculation puts the energy above the most stable polymorph in this dataset at 0 meV per atom. The crystal system is tetragonal. For the calculated volume, the calculation gives 19.57 A^3/atom. For the formation energy, the calculation gives 0.124 eV/atom.

The structure belongs to space group I4/mmm (No. 139); the cell edges are 4.325, 4.325 and 10.464 Å and the angles 90.00°, 90.00° and 90.00°. The inequivalent atoms are Sr at (0.000, 0.000, 0.000), Nb at (0.000, 0.500, 0.250) and Co at (0.000, 0.000, 0.369).

Record 2
First-principles (PBE-GGA) data for a relaxed structure of ScTaBiO6, as listed in Alexandria via LeMat-Bulk.

The crystal system is tetragonal. For the calculated volume, the calculation gives 13.35 A^3/atom. The formation energy without anion corrections comes out at -232.0 kJ per mole of atoms.

The structure belongs to space group P4_2nm (No. 102); the cell edges are 4.926, 4.926 and 9.899 Å and the angles 90.00°, 90.00° and 90.00°. The inequivalent atoms are Sc at (0.000, 0.000, 0.000), Ta at (0.000, 0.000, 0.337), Bi at (0.000, 0.000, 0.671), O at (0.179, 0.179, 0.174), O at (0.196, 0.196, 0.481) and O at (0.210, 0.210, 0.842).

Record 3
First-principles (PBE-GGA) data for a relaxed structure of Fe2PbCl, as listed in Alexandria via LeMat-Bulk.

The calculation puts the energy above the most stable polymorph in this dataset at 489 meV per atom. The crystal system is orthorhombic. For the calculated volume, the calculation gives 18.21 A^3/atom. The formation energy without anion corrections comes out at 53.4 kJ per mole of atoms.

The structure belongs to space group Immm (No. 71); the cell edges are 3.030, 5.533 and 8.688 Å and the angles 90.00°, 90.00° and 90.00°. The inequivalent atoms are Fe at (0.000, 0.000, 0.227), Pb at (0.000, 0.500, 0.000) and Cl at (0.000, 0.500, 0.500).

Record 4
First-principles (PBE-GGA) data for a relaxed structure of Na2BCl4, as listed in Alexandria via LeMat-Bulk.

The crystal system is tetragonal. For the calculated volume, the calculation gives 34.98 A^3/atom. The formation energy without anion corrections comes out at -85.1 kJ per mole of atoms.

The structure belongs to space group I-42m (No. 121); the cell edges are 6.716, 6.716 and 10.857 Å and the angles 90.00°, 90.00° and 90.00°. The inequivalent atoms are Na at (0.000, 0.500, 0.250), B at (0.000, 0.000, 0.000) and Cl at (0.163, 0.163, 0.098).

Record 5
First-principles (PBE-GGA) data for a relaxed structure of Cu2Ni2Rh, as listed in Alexandria via LeMat-Bulk.

The calculation puts the energy above the most stable polymorph in this dataset at 161 meV per atom. The crystal system is tetragonal. For the calculated volume, the calculation gives 12.26 A^3/atom. For the formation energy, the calculation gives 0.213 eV/atom.

The structure belongs to space group P4/mbm (No. 127); the cell edges are 6.831, 6.831 and 2.628 Å and the angles 90.00°, 90.00° and 90.00°. The inequivalent atoms are Cu at (0.125, 0.375, 0.000), Ni at (0.174, 0.674, 0.500) and Rh at (0.000, 0.000, 0.000).

Record 6
First-principles (PBE-GGA) data for a relaxed structure of Sr2AlGa, as listed in Alexandria via LeMat-Bulk.

The calculation puts the energy above the most stable polymorph in this dataset at 447 meV per atom. The crystal system is tetragonal. For the calculated volume, the calculation gives 34.73 A^3/atom. For the formation energy, the calculation gives 0.152 eV/atom.

The structure belongs to space group I-42d (No. 122); the cell edges are 8.741, 8.741 and 7.272 Å and the angles 90.00°, 90.00° and 90.00°. The inequivalent atoms are Sr at (0.240, 0.250, 0.125), Al at (0.000, 0.000, 0.500) and Ga at (0.000, 0.000, 0.000).

Record 7
First-principles (PBE-GGA) data for a relaxed structure of Si2RuPt, as listed in Alexandria via LeMat-Bulk.

The crystal system is monoclinic. For the calculated volume, the calculation gives 13.66 A^3/atom. The formation energy without anion corrections comes out at -33.5 kJ per mole of atoms.

The structure belongs to space group C2/m (No. 12); the cell edges are 5.683, 6.316 and 3.045 Å and the angles 90.00°, 90.20° and 90.00°. The inequivalent atoms are Si at (0.250, 0.250, 0.000), Ru at (0.000, 0.000, 0.500) and Pt at (0.000, 0.500, 0.500).

Record 8
First-principles (PBE-GGA) data for a relaxed structure of ScAsSe2Cl, as listed in Alexandria via LeMat-Bulk.

The calculation puts the energy above the most stable polymorph in this dataset at 462 meV per atom. The crystal system is tetragonal. For the calculated volume, the calculation gives 23.81 A^3/atom. The formation energy without anion corrections comes out at 34.8 kJ per mole of atoms.

The structure belongs to space group P4/mmm (No. 123); the cell edges are 5.044, 5.044 and 4.679 Å and the angles 90.00°, 90.00° and 90.00°. The inequivalent atoms are Sc at (0.000, 0.000, 0.000), As at (0.500, 0.500, 0.000), Se at (0.000, 0.500, 0.500) and Cl at (0.500, 0.500, 0.500).

no.,magnetization (μB/cell),total energy (eV/atom),DOS(E_F) (states/eV per cell)
1,0.0,-7.0825,5.9
2,0.0,-8.1618,4.8
3,10.7,-5.0668,10.2
4,0.0,-3.2683,3.8
5,2.3,-5.2081,20.1
6,0.0,-2.3809,20.9
7,0.0,-6.8880,4.7
8,0.0,-3.5988,4.0